{"formula": "La2ZnNi2Pt5", "functional": "PBE", "state": "relaxed", "cell": [[-1.386, 2.790, -2.543], [-0.013, -6.320, -6.927], [-8.802, -2.380, 2.187]], "species": ["La", "La", "La", "La", "Zn", "Zn", "Pt", "Pt", "Pt", "Pt", "Pt", "Pt", "Pt", "Pt", "Pt", "Pt", "Ni", "Ni", "Ni", "Ni"], "fractional_positions": [[0.000, 0.678, 0.178], [0.000, 0.822, 0.678], [0.000, 0.322, 0.822], [0.000, 0.178, 0.322], [0.000, 0.500, 0.500], [0.000, 0.000, 0.000], [0.500, 0.706, 0.437], [0.500, 0.794, 0.937], [0.500, 0.063, 0.794], [0.500, 0.437, 0.294], [0.500, 0.500, 0.000], [0.500, 0.294, 0.563], [0.500, 0.937, 0.206], [0.500, 0.563, 0.706], [0.500, 0.000, 0.500], [0.500, 0.206, 0.063], [0.000, 0.877, 0.377], [0.000, 0.623, 0.877], [0.000, 0.123, 0.623], [0.000, 0.377, 0.123]], "ef_ev_per_fu": -7.55, "space_group": "P4/mbm"}

=====

{"formula": "PrHoTh2Rh4", "functional": "PBE", "state": "relaxed", "cell": [[5.750, 0.495, 0.000], [-0.132, 5.770, 0.000], [-2.809, -3.133, 5.623]], "species": ["Th", "Th", "Ho", "Rh", "Rh", "Rh", "Rh", "Pr"], "fractional_positions": [[0.658, 0.158, 0.500], [0.158, 0.658, 0.500], [0.507, 0.507, 0.000], [0.173, 0.173, 0.542], [0.419, 0.019, 0.000], [0.631, 0.631, 0.458], [0.019, 0.419, 0.000], [0.933, 0.933, 0.000]], "ef_ev_per_fu": -6.05, "space_group": "Fmm2"}

=====

{"formula": "YErTm2Se6", "functional": "PBE", "state": "relaxed", "cell": [[-6.113, -1.518, 3.356], [-0.584, -6.008, 3.809], [-0.133, 0.605, 7.621]], "species": ["Se", "Se", "Se", "Se", "Se", "Se", "Y", "Tm", "Tm", "Er"], "fractional_positions": [[0.615, 0.224, 0.251], [0.224, 0.910, 0.251], [0.111, 0.413, 0.749], [0.413, 0.726, 0.749], [0.910, 0.615, 0.251], [0.726, 0.111, 0.749], [0.318, 0.318, 0.047], [0.013, 0.013, 0.961], [0.513, 0.513, 0.462], [0.818, 0.818, 0.545]], "e_form_raw_ev_per_atom": -1.846, "space_group": "R3"}

=====

no.,total magnetization (Bohr magnetons per cell)
1,0.00
2,0.00
3,0.00